NaP2Pd2 after structural relaxation. Source: Alexandria, functional PBE.

Cell: 7.4651 7.4651 2.9114 Å, 90.00 90.00 90.00°
Closest atoms and distances in Å follow each position.
Fractional positions:
Na1 0.0000 0.0000 0.0000  4 P 2.85, 2 Na 2.91
Na2 0.5000 0.5000 0.0000  4 P 2.85, 2 Na 2.91
Pd1 0.6391 0.8609 0.5000  6 P 2.59-2.67
Pd2 0.8609 0.3609 0.5000  6 P 2.59-2.67
Pd3 0.3609 0.1391 0.5000  6 P 2.59-2.67
Pd4 0.1391 0.6391 0.5000  6 P 2.59-2.67
P1 0.6483 0.1483 0.0000  6 Pd 2.59-2.67, 2 Na 2.85
P2 0.1483 0.3517 0.0000  6 Pd 2.59-2.67, 2 Na 2.85
P3 0.8517 0.6483 0.0000  6 Pd 2.59-2.67, 2 Na 2.85
P4 0.3517 0.8517 0.0000  6 Pd 2.59-2.67, 2 Na 2.85

Calculated values
The formation energy from the elements comes out at -0.2120 eV/atom. As for the space group: No. 127.


PmYIrAu after structural relaxation. Source: Alexandria, functional PBE.

Cell: 3.5676 3.5676 7.1431 Å, 90.00 90.00 90.00°
Closest atoms and distances in Å follow each position.
Fractional positions:
Y1 0.5000 0.5000 0.1216  4 Ir 3.00, 4 Au 3.10, 1 Pm 3.34
Pm1 0.5000 0.5000 0.5885  4 Ir 3.05, 4 Au 3.22, 1 Y 3.34
Au1 0.0000 0.0000 0.8689  4 Y 3.10, 4 Pm 3.22, 1 Ir 3.43
Ir1 0.0000 0.0000 0.3489  4 Y 3.00, 4 Pm 3.05

Calculated values
The formation energy from the elements comes out at -0.7675 eV/atom. For the distance to the lowest polymorph of the same formula, the calculation gives 0 meV per atom. As for the space group: No. 99.


Be2Pb after structural relaxation. Source: Alexandria, functional PBE.

Cell: 3.5946 3.6034 9.5218 Å, 100.26 98.07 120.02°
Closest atoms and distances in Å follow each position.
Fractional positions:
Pb1 0.4269 0.6112 0.8172  4 Be 2.81-2.88
Pb2 0.5731 0.3888 0.1828  4 Be 2.81-2.88
Be1 0.5879 0.0943 0.6074  1 Be 1.94
Be2 0.8357 0.6690 0.5021  9 Be 2.08-2.31
Be3 0.4121 0.9057 0.3926  1 Be 1.94
Be4 0.1643 0.3310 0.4979  9 Be 2.08-2.31

Calculated values
The formation energy from the elements comes out at 0.2130 eV/atom. For the distance to the lowest polymorph of the same formula, the calculation gives 11 meV per atom. As for the space group: No. 2.


La2TlInFe after structural relaxation. Source: Alexandria, functional PBE.

Cell: 5.1735 5.1735 5.1424 Å, 90.00 90.00 90.00°
Closest atoms and distances in Å follow each position.
Fractional positions:
Fe1 0.0000 0.0000 0.0000  2 In 2.57, 4 La 2.59
In1 0.0000 0.0000 0.5000  2 Fe 2.57
Tl1 0.5000 0.5000 0.5000  8 La 3.65, 4 In 3.66
La1 0.5000 0.0000 0.0000  2 Fe 2.59
La2 0.0000 0.5000 0.0000  2 Fe 2.59

Calculated values
The formation energy from the elements comes out at -0.2329 eV/atom. As for the space group: No. 123.


TlIr2O after structural relaxation. Source: Alexandria, functional PBE.

Cell: 4.4341 4.4341 4.4341 Å, 60.00 60.00 60.00°
Closest atoms and distances in Å follow each position.
Fractional positions:
Ir1 0.2500 0.2500 0.2500  4 Tl 2.72, 4 O 2.72
Ir2 0.7500 0.7500 0.7500  4 Tl 2.72, 4 O 2.72
O1 0.0000 0.0000 0.0000  8 Ir 2.72
Tl1 0.5000 0.5000 0.5000  8 Ir 2.72

Calculated values
For the distance to the lowest polymorph of the same formula, the calculation gives 800 meV per atom. As for the space group: No. 225. The value obtained for the raw formation energy is 1.1341 eV per atom.


KTaSe2Br after structural relaxation. Source: Alexandria, functional PBE.

Cell: 5.0803 5.0803 5.3510 Å, 90.00 90.00 90.00°
Closest atoms and distances in Å follow each position.
Fractional positions:
Se1 0.0000 0.5000 0.0000  2 Ta 2.54
Se2 0.5000 0.0000 0.0000  2 Ta 2.54
K1 0.5000 0.5000 0.5000  4 Br 3.59, 8 Se 3.69
Br1 0.0000 0.0000 0.5000  2 Ta 2.68
Ta1 0.0000 0.0000 0.0000  4 Se 2.54, 2 Br 2.68

Calculated values
For the distance to the lowest polymorph of the same formula, the calculation gives 0 meV per atom. As for the space group: No. 123. The value obtained for the raw formation energy is -0.7823 eV per atom.


InAgI6 after structural relaxation. Source: Alexandria, functional PBE.

Cell: 8.7980 13.3679 8.5773 Å, 39.34 54.83 44.46°
Closest atoms and distances in Å follow each position.
Fractional positions:
I1 0.4264 0.8738 0.7095  1 I 2.85, 1 In 3.13
I2 0.1833 0.6301 0.2167  1 In 2.89
I3 0.8167 0.3699 0.7833  1 In 2.89
I4 0.5736 0.1262 0.2905  1 I 2.85, 1 In 3.13
I5 0.7466 0.1424 0.6956  1 Ag 2.71, 1 In 2.89
I6 0.2534 0.8576 0.3044  1 Ag 2.71, 1 In 2.89
Ag1 0.5000 0.5000 0.5000  2 I 2.71
In1 0.0000 0.0000 0.0000  6 I 2.89-3.13

Calculated values
As for the space group: No. 2. The value obtained for the raw formation energy is -0.2320 eV per atom.


Sc2CdSbC after structural relaxation. Source: Alexandria, functional PBE.

Cell: 4.5211 4.8371 4.5211 Å, 90.00 90.00 90.00°
Closest atoms and distances in Å follow each position.
Fractional positions:
Sc1 0.5000 0.0000 0.0000  2 C 2.26
Sc2 0.0000 0.0000 0.5000  2 C 2.26
Cd1 0.5000 0.5000 0.5000  4 Sb 3.20, 8 Sc 3.31
Sb1 0.0000 0.5000 0.0000  2 C 2.42
C1 0.0000 0.0000 0.0000  4 Sc 2.26, 2 Sb 2.42

Calculated values
For the distance to the lowest polymorph of the same formula, the calculation gives 212 meV per atom. As for the space group: No. 123. The value obtained for the raw formation energy is -0.1529 eV per atom.


Be2SiRh4 after structural relaxation. Source: Alexandria, functional PBE.

Cell: 3.9882 3.9882 6.7473 Å, 72.81 72.81 60.00°
Closest atoms and distances in Å follow each position.
Fractional positions:
Rh1 0.8714 0.8714 0.3857  4 Be 2.30-2.45, 1 Si 2.45
Rh2 0.3762 0.3762 0.8715  4 Be 2.41-2.43, 3 Si 2.44
Rh3 0.1286 0.1286 0.6143  4 Be 2.30-2.45, 1 Si 2.45
Rh4 0.6238 0.6238 0.1285  4 Be 2.41-2.43, 3 Si 2.44
Be1 0.2493 0.2493 0.2522  8 Rh 2.30-2.45
Be2 0.7507 0.7507 0.7478  8 Rh 2.30-2.45
Si1 0.0000 0.0000 0.0000  8 Rh 2.44-2.45

Calculated values
As for the space group: No. 166. The value obtained for the raw formation energy is -0.5209 eV per atom.


Ca3Cd after structural relaxation. Source: Alexandria, functional PBE.

Cell: 6.7385 6.7385 6.7385 Å, 116.74 116.74 116.74°
Closest atoms and distances in Å follow each position.
Fractional positions:
Ca1 0.0000 0.0000 0.0000  6 Ca 3.53-3.69, 2 Cd 3.53
Ca2 0.5000 0.0000 0.5000  6 Ca 3.53-3.69, 2 Cd 3.53
Ca3 0.5000 0.5000 0.0000  2 Cd 3.53, 6 Ca 3.53-3.69
Cd1 0.0000 0.5000 0.5000  6 Ca 3.53, 2 Cd 3.69

Calculated values
The formation energy from the elements comes out at -0.0376 eV/atom. As for the space group: No. 166.


InBrF after structural relaxation. Source: Alexandria, functional PBE.

Cell: 6.1115 3.7480 7.0770 Å, 90.00 95.74 90.00°
Closest atoms and distances in Å follow each position.
Fractional positions:
F1 0.4546 0.5000 0.0134  2 In 2.21
F2 0.4354 0.0000 0.7002  1 In 2.11
Br1 0.7666 0.0000 0.3224  1 In 2.60
Br2 0.9078 0.5000 0.8372  2 In 2.73
In1 0.6322 0.0000 0.9627  3 F 2.11-2.21
In2 0.3514 0.5000 0.4588  2 F 2.55

Calculated values
As for the space group: No. 6. The value obtained for the raw formation energy is -1.4785 eV per atom.


Sm2MnB2Rh5 after structural relaxation. Source: Alexandria, functional PBE.

Cell: 3.2105 9.6523 9.6523 Å, 90.00 90.00 90.00°
Closest atoms and distances in Å follow each position.
Fractional positions:
Sm1 0.0000 0.6767 0.1767  3 B 2.75-2.93, 10 Rh 2.90-3.03
Sm2 0.0000 0.8233 0.6767  3 B 2.75-2.93, 10 Rh 2.90-3.03
Sm3 0.0000 0.1767 0.3233  3 B 2.75-2.93, 10 Rh 2.90-3.03
Sm4 0.0000 0.3233 0.8233  3 B 2.75-2.93, 10 Rh 2.90-3.03
Rh1 0.5000 0.0693 0.7770  2 B 2.25
Rh2 0.5000 0.0000 0.5000  4 B 2.32
Rh3 0.5000 0.2770 0.5693  2 B 2.25
Rh4 0.5000 0.4307 0.2770  2 B 2.25
Rh5 0.5000 0.2230 0.0693  2 B 2.25
Rh6 0.5000 0.5000 0.0000  4 B 2.32
Rh7 0.5000 0.7770 0.9307  2 B 2.25
Rh8 0.5000 0.9307 0.2230  2 B 2.25
Rh9 0.5000 0.5693 0.7230  2 B 2.25
Rh10 0.5000 0.7230 0.4307  2 B 2.25
B1 0.0000 0.6222 0.8778  6 Rh 2.25-2.32
B2 0.0000 0.3778 0.1222  6 Rh 2.25-2.32
B3 0.0000 0.1222 0.6222  6 Rh 2.25-2.32
B4 0.0000 0.8778 0.3778  6 Rh 2.25-2.32
Mn1 0.0000 0.5000 0.5000  8 Rh 2.77
Mn2 0.0000 0.0000 0.0000  8 Rh 2.77

Calculated values
The formation energy from the elements comes out at -0.6056 eV/atom. As for the space group: No. 127.


Calculated density for every record listed, in sequence, given in Mg/m³: 6.10 11.38 7.39 7.88 16.29 5.51 3.65 5.64 8.70 2.75 4.40 9.90.